Here is a relaxed structure of Ac3CeNd2P6 from Alexandria. Energies are from PBE-GGA.

```
data_Ac3CeNd2P6
_cell_length_a 7.427
_cell_length_b 12.860
_cell_length_c 7.457
_cell_angle_alpha 90.00
_cell_angle_beta 109.39
_cell_angle_gamma 90.00
_space_group_name_H-M_alt 'C 1 2/m 1'
_space_group_IT_number 12
loop_
_space_group_symop_operation_xyz
'x,y,z'
'-x,-y,-z'
'-x,y,-z'
'x,-y,z'
'x+1/2,y+1/2,z'
'-x+1/2,-y+1/2,-z'
'-x+1/2,y+1/2,-z'
'x+1/2,-y+1/2,z'
loop_
_atom_site_label
_atom_site_fract_x
_atom_site_fract_y
_atom_site_fract_z
Ac1 0.000 0.000 0.000
Ac2 0.000 0.332 0.000
Ce1 0.000 0.500 0.500
Nd1 0.000 0.166 0.500
P1 0.241 0.336 0.733
P2 0.250 0.000 0.733
```

***

Here is a relaxed structure of AcCeNdPb from Alexandria. Energies are from PBE-GGA.

```
data_AcCeNdPb
_cell_length_a 8.062
_cell_length_b 8.062
_cell_length_c 8.062
_cell_angle_alpha 90.00
_cell_angle_beta 90.00
_cell_angle_gamma 90.00
_space_group_name_H-M_alt 'F -4 3 m'
_space_group_IT_number 216
_space_group_name_Hall 'F -4 2 3'
loop_
_atom_site_label
_atom_site_fract_x
_atom_site_fract_y
_atom_site_fract_z
Ac1 0.000 0.000 0.000
Ce1 0.250 0.250 0.750
Nd1 0.250 0.250 0.250
Pb1 0.000 0.000 0.500
```

***

Here is a relaxed structure of AcCePmNd from Alexandria. Energies are from PBE-GGA.

```
data_AcCePmNd
_cell_length_a 8.383
_cell_length_b 8.383
_cell_length_c 8.383
_cell_angle_alpha 90.00
_cell_angle_beta 90.00
_cell_angle_gamma 90.00
_space_group_name_H-M_alt 'F -4 3 m'
_space_group_IT_number 216
_space_group_name_Hall 'F -4 2 3'
loop_
_atom_site_label
_atom_site_fract_x
_atom_site_fract_y
_atom_site_fract_z
Ac1 0.000 0.000 0.000
Ce1 0.250 0.250 0.750
Pm1 0.000 0.000 0.500
Nd1 0.250 0.250 0.250
```

***

no.,total magnetic moment (μB/f.u.),energy of formation from the pure elements (eV/atom)
1,0.5,-1.481
2,1.3,-0.062
3,3.2,0.223